[1]
Computed, not measured: crystalline TbHo2Cd3CuAu2 at its relaxed geometry at the PBE level of DFT.

Lattice parameters (Å, degrees): 3.8468 7.7267 7.7267 120.13 90.00 90.00
Positions (direct):
Au 0.5000 0.6681 0.3329
Au 0.5000 0.3329 0.6681
Cd 0.5000 0.9996 0.2458
Cd 0.5000 0.7543 0.7543
Cd 0.5000 0.2458 0.9996
Cu 0.0000 0.9994 0.9994
Ho 0.0000 0.5932 0.0000
Ho 0.0000 0.0000 0.5932
Tb 0.0000 0.4069 0.4069

Values from the calculation:
The value obtained for the electronic total energy is -3.545 eV per atom. The value obtained for the volume is 22.07 Å³/atom. The space group is Amm2 (38). Its crystal system is orthorhombic.

=====

[2]
Computed, not measured: crystalline HoTm2Cd3CuAu2 at its relaxed geometry at the PBE level of DFT.

Lattice parameters (Å, degrees): 3.8251 7.6435 7.6435 120.09 90.00 90.00
Positions (direct):
Au 0.5000 0.6672 0.3317
Au 0.5000 0.3317 0.6672
Cd 0.5000 0.7546 0.0000
Cd 0.5000 0.2457 0.2457
Cd 0.5000 0.0000 0.7546
Cu 0.0000 0.0012 0.0012
Ho 0.0000 0.5910 0.5910
Tm 0.0000 0.4087 0.0000
Tm 0.0000 0.0000 0.4087

Values from the calculation:
The value obtained for the electronic total energy is -3.511 eV per atom. The value obtained for the volume is 21.48 Å³/atom. The space group is Amm2 (38). Its crystal system is orthorhombic.

=====

[3]
Computed, not measured: crystalline Tm3CdIn2CuAu2 at its relaxed geometry at the PBE level of DFT.

Lattice parameters (Å, degrees): 3.8217 7.6733 7.6733 120.02 90.00 90.00
Positions (direct):
Au 0.5000 0.6678 0.3334
Au 0.5000 0.3334 0.6678
Cd 0.5000 0.2506 0.2506
Cu 0.0000 0.9966 0.9966
In 0.5000 0.7520 0.0003
In 0.5000 0.0003 0.7520
Tm 0.0000 0.4067 0.0035
Tm 0.0000 0.0035 0.4067
Tm 0.0000 0.5890 0.5890

Values from the calculation:
The value obtained for the electronic total energy is -3.965 eV per atom. The value obtained for the volume is 21.65 Å³/atom. The space group is Amm2 (38). Its crystal system is orthorhombic.

=====

[4]
Computed, not measured: crystalline LiCdCuAu at its relaxed geometry at the PBE level of DFT.

Lattice parameters (Å, degrees): 4.4554 4.4554 4.4554 60.00 60.00 60.00
Positions (direct):
Au 0.0000 0.0000 0.0000
Cd 0.5000 0.5000 0.5000
Cu 0.2500 0.2500 0.2500
Li 0.7500 0.7500 0.7500

Values from the calculation:
The value obtained for the volume is 15.63 Å³/atom. The space group is F-43m (216). Its crystal system is cubic. The calculation puts the energy above the lowest structure with this stoichiometry at 0 meV per atom.